Record 1
DFT (PBE) results for a relaxed structure of Cs3RhBr.

Results
density of states at the Fermi level	0.321	states/eV/atom
magnetization	0.0	μB/f.u.
crystal system	cubic
E_form (uncorrected)	-280	meV per atom

Unit cell a=6.146 b=6.146 c=6.146 alpha=90.00 beta=90.00 gamma=90.00
Fractional coordinates of all 5 atoms:
Cs 0.000 0.000 0.500
Cs 0.000 0.500 0.000
Cs 0.500 0.000 0.000
Rh 0.000 0.000 0.000
Br 0.500 0.500 0.500

***

Record 2
DFT (PBE) results for a relaxed structure of Tb2Nd3Sm2.

Results
ΔH_f (0 K)	0.77	eV per formula unit
density of states at the Fermi level	1.493	states/eV/atom
magnetization	0.0	μB/f.u.
crystal system	monoclinic
excess energy over the best structure of this formula in the dataset	95.6	meV/atom

Unit cell a=9.054 b=9.054 c=8.685 alpha=118.32 beta=118.32 gamma=22.60
Fractional coordinates of all 7 atoms:
Tb 0.147 0.147 0.329
Tb 0.853 0.853 0.671
Nd 0.000 0.000 0.500
Nd 0.213 0.213 0.799
Nd 0.787 0.787 0.201
Sm 0.435 0.435 0.090
Sm 0.565 0.565 0.910

***

Record 3
DFT (PBE) results for a relaxed structure of Tl2InNi.

Results
ΔH_f (0 K)	1.50	eV per formula unit
density of states at the Fermi level	0.556	states/eV/atom
magnetization	0.0	μB/f.u.
crystal system	tetragonal

Unit cell a=5.623 b=5.623 c=5.623 alpha=133.14 beta=133.14 gamma=68.43
Fractional coordinates of all 4 atoms:
Tl 0.000 0.000 0.000
Tl 0.750 0.250 0.500
In 0.250 0.750 0.500
Ni 0.500 0.500 0.000

***

Record 4
DFT (PBE) results for a relaxed structure of LiZnRuW.

Results
ΔH_f (0 K)	0.24	eV per formula unit
density of states at the Fermi level	0.791	states/eV/atom
magnetization	0.0	μB/f.u.
crystal system	cubic

Unit cell a=4.282 b=4.282 c=4.282 alpha=60.00 beta=60.00 gamma=60.00
Fractional coordinates of all 4 atoms:
Li 0.000 0.000 0.000
Zn 0.750 0.750 0.750
Ru 0.500 0.500 0.500
W 0.250 0.250 0.250

***

Record 5
DFT (PBE) results for a relaxed structure of TmU2S5.

Results
density of states at the Fermi level	1.571	states/eV/atom
magnetization	5.0	μB/f.u.
crystal system	orthorhombic
E_form (uncorrected)	-1598	meV per atom

Unit cell a=11.697 b=7.806 c=7.334 alpha=90.00 beta=90.00 gamma=90.00
Fractional coordinates of all 32 atoms:
Tm 0.006 0.250 0.075
Tm 0.494 0.750 0.575
Tm 0.506 0.250 0.425
Tm 0.994 0.750 0.925
U 0.180 0.001 0.515
U 0.180 0.499 0.515
U 0.320 0.501 0.015
U 0.320 0.999 0.015
U 0.680 0.001 0.985
U 0.680 0.499 0.985
U 0.820 0.501 0.485
U 0.820 0.999 0.485
S 0.001 0.250 0.464
S 0.103 0.541 0.163
S 0.103 0.959 0.163
S 0.185 0.250 0.824
S 0.213 0.750 0.798
S 0.287 0.250 0.298
S 0.315 0.750 0.324
S 0.397 0.041 0.663
S 0.397 0.459 0.663
S 0.499 0.750 0.964
S 0.501 0.250 0.036
S 0.603 0.541 0.337
S 0.603 0.959 0.337
S 0.685 0.250 0.676
S 0.713 0.750 0.702
S 0.787 0.250 0.202
S 0.815 0.750 0.176
S 0.897 0.041 0.837
S 0.897 0.459 0.837
S 0.999 0.750 0.536

***

Record 6
DFT (PBE) results for a relaxed structure of Rb3Tl5Sn2.

Results
ΔH_f (0 K)	-0.52	eV per formula unit
density of states at the Fermi level	0.513	states/eV/atom
magnetization	0.0	μB/f.u.
crystal system	orthorhombic
excess energy over the best structure of this formula in the dataset	38.1	meV/atom

Unit cell a=10.963 b=10.963 c=10.963 alpha=112.87 beta=83.06 gamma=137.07
Fractional coordinates of all 20 atoms:
Rb 0.131 0.743 0.874
Rb 0.250 0.250 0.000
Rb 0.369 0.243 0.612
Rb 0.631 0.757 0.388
Rb 0.750 0.750 0.000
Rb 0.869 0.257 0.126
Tl 0.010 0.750 0.260
Tl 0.119 0.365 0.484
Tl 0.250 0.750 0.500
Tl 0.381 0.865 0.245
Tl 0.490 0.750 0.740
Tl 0.510 0.250 0.260
Tl 0.619 0.135 0.755
Tl 0.750 0.250 0.500
Tl 0.881 0.635 0.516
Tl 0.990 0.250 0.740
Sn 0.160 0.126 0.287
Sn 0.340 0.626 0.966
Sn 0.660 0.374 0.034
Sn 0.840 0.874 0.713